NpTlB (GGA-PBE, relaxed); uncorrected energy = -6.61 eV per atom; calculated volume = 61.4 Å³/f.u.; energy above the lowest structure with this stoichiometry = 0.0 meV/atom
1.0
0.000 3.131 3.131
3.131 0.000 3.131
3.131 3.131 0.000
B Np Tl
1 1 1
Direct
0.000 0.000 0.000
0.250 0.250 0.250
0.750 0.750 0.750